This record from the Alexandria database describes CaNd3 at its PBEsol-relaxed geometry. The functional is SCAN.

Computed properties:
Formation energy = 0.10 eV/atom
Crystal system = hexagonal
Final energy = -34.998 eV/atom
Theoretical density = 5.75 Mg/m³

Lattice parameters (Å, degrees): 7.3283 7.3283 5.8728 90.00 90.00 120.00
Space group P6_3/mmc (No. 194)
Inequivalent atoms, fractional coordinates:
Ca (0.3333, 0.6667, 0.2500)
Nd (0.1637, 0.3275, 0.7500)